[1]
LiOsRu2, optimized geometry, DFT GGA-PBE; energy of formation = 0.22 eV/atom; offset from the most stable computed form = 27 meV/atom; density of states at the Fermi level = 4.094 states/eV per cell
1.0
-1.253 1.891 1.484
-1.513 -2.750 2.226
4.095 0.268 3.115
Ru Os Li
2 1 1
Direct
0.000 0.000 0.011 Ru
0.000 0.000 0.489 Ru
0.500 0.500 0.750 Os
0.500 0.500 0.250 Li



[2]
LiOsRu2, optimized geometry, DFT GGA-PBE; energy of formation = 0.22 eV/atom; offset from the most stable computed form = 34 meV/atom; density of states at the Fermi level = 4.492 states/eV per cell
1.0
-1.195 -2.042 -3.992
-1.176 -3.957 -2.120
-4.612 0.391 0.447
Os Ru Li
1 2 1
Direct
0.259 0.259 0.240 Os
0.003 0.003 0.016 Ru
0.740 0.740 0.732 Ru
0.498 0.498 0.512 Li



[3]
LiOs3Ru, optimized geometry, DFT GGA-PBE; energy of formation = 1.25 eV/atom; offset from the most stable computed form = 0 meV/atom; density of states at the Fermi level = 4.667 states/eV per cell
1.0
4.064 0.000 0.000
0.000 4.064 0.000
0.000 0.000 4.064
Os Ru Li
3 1 1
Direct
0.000 0.500 0.000 Os
0.500 0.000 0.000 Os
0.000 0.000 0.500 Os
0.500 0.500 0.500 Ru
0.000 0.000 0.000 Li



[4]
LiOs2Ru, optimized geometry, DFT GGA-PBE; energy of formation = 0.28 eV/atom; density of states at the Fermi level = 3.583 states/eV per cell
1.0
4.041 0.000 0.000
0.000 2.671 0.010
0.000 1.437 4.978
Ru Os Li
1 2 1
Direct
0.500 0.250 0.250 Ru
0.000 0.581 0.516 Os
0.000 0.919 0.984 Os
0.500 0.750 0.750 Li



[5]
LiOs2Ru, optimized geometry, DFT GGA-PBE; energy of formation = 0.21 eV/atom; density of states at the Fermi level = 2.811 states/eV per cell
1.0
-5.936 5.469 4.216
-7.204 3.098 4.629
-5.245 3.909 6.334
Ru Os Li
1 2 1
Direct
0.503 0.503 0.503 Ru
0.250 0.250 0.250 Os
0.997 0.997 0.997 Os
0.750 0.750 0.750 Li



[6]
Li2OsRu, optimized geometry, DFT GGA-PBE; energy of formation = 0.32 eV/atom; offset from the most stable computed form = 225 meV/atom; density of states at the Fermi level = 3.070 states/eV per cell
1.0
-1.024 -4.178 2.679
3.736 -3.051 1.552
-1.164 4.932 0.012
Os Ru Li
1 1 2
Direct
0.250 0.750 0.500 Os
0.750 0.250 0.500 Ru
0.000 0.000 0.000 Li
0.500 0.500 0.000 Li